No. 1
Below is an optimized crystal structure of Ac2PrY7, with properties calculated at the PBE-GGA level.

Summary:
**Total magnetic moment**: 0.000 μB per formula unit
**Space-group type**: P-1, No. 2
**N(E_F)**: 16.09 states/eV/cell

Lattice parameters (Å, degrees): 5.870 9.123 8.539 116.73 101.54 106.11
Positions (direct):
Ac (0.636, 0.718, 0.494)
Ac (0.364, 0.282, 0.506)
Pr (0.000, 0.000, 0.000)
Y (0.098, 0.765, 0.242)
Y (0.902, 0.235, 0.758)
Y (0.135, 0.630, 0.757)
Y (0.865, 0.370, 0.243)
Y (0.647, 0.978, 0.251)
Y (0.353, 0.022, 0.749)
Y (0.500, 0.500, 0.000)

No. 2
Below is an optimized crystal structure of Ac8PrY3, with properties calculated at the PBE-GGA level.

Summary:
**Total magnetic moment**: 0.000 μB per formula unit
**Space-group type**: Cm, No. 8
**N(E_F)**: 19.32 states/eV/cell

Lattice parameters (Å, degrees): 6.127 10.686 9.712 123.19 108.39 90.00
Positions (direct):
Ac (0.454, 0.774, 0.909)
Ac (0.336, 0.007, 0.672)
Ac (0.960, 0.302, 0.920)
Ac (0.083, 0.082, 0.167)
Ac (0.824, 0.809, 0.648)
Ac (0.085, 0.743, 0.171)
Ac (0.591, 0.268, 0.181)
Ac (0.710, 0.046, 0.420)
Pr (0.209, 0.531, 0.419)
Y (0.334, 0.340, 0.668)
Y (0.835, 0.490, 0.670)
Y (0.576, 0.578, 0.152)

No. 3
Below is an optimized crystal structure of AcPr2Y7, with properties calculated at the PBE-GGA level.

Summary:
**Polymorph energy (0 for the lowest one)**: 0.000 eV per atom
**Total magnetic moment**: 0.729 μB per formula unit
**Space-group type**: Immm, No. 71
**N(E_F)**: 15.01 states/eV/cell

Lattice parameters (Å, degrees): 5.480 7.993 9.523 114.79 106.71 90.00
Each line ends with the local moment (μB).
Positions (direct):
Ac (0.000, 0.000, 0.000)  0.01
Pr (0.789, 0.789, 0.577)  -0.01
Pr (0.211, 0.211, 0.423)  -0.01
Y (0.154, 0.655, 0.309)  0.05
Y (0.846, 0.345, 0.691)  0.05
Y (0.361, 0.655, 0.723)  0.03
Y (0.639, 0.345, 0.277)  0.03
Y (0.638, 0.932, 0.277)  0.03
Y (0.362, 0.068, 0.723)  0.03
Y (0.500, 0.500, 0.000)  0.16

No. 4
Below is an optimized crystal structure of Ac5Pr6Y, with properties calculated at the PBE-GGA level.

Summary:
**Total magnetic moment**: 0.000 μB per formula unit
**Space-group type**: Immm, No. 71
**N(E_F)**: 22.36 states/eV/cell

Lattice parameters (Å, degrees): 5.453 10.100 10.100 107.21 105.68 105.68
Positions (direct):
Pr (0.248, 0.083, 0.412)
Pr (0.752, 0.588, 0.917)
Pr (0.747, 0.247, 0.247)
Pr (0.253, 0.753, 0.753)
Pr (0.248, 0.412, 0.083)
Pr (0.752, 0.917, 0.588)
Y (0.000, 0.000, 0.000)
Ac (0.500, 0.163, 0.837)
Ac (0.000, 0.333, 0.667)
Ac (0.500, 0.500, 0.500)
Ac (0.000, 0.667, 0.333)
Ac (0.500, 0.837, 0.163)

No. 5
Below is an optimized crystal structure of AcPr4Y15, with properties calculated at the PBE-GGA level.

Summary:
**Total magnetic moment**: 0.000 μB per formula unit
**Space-group type**: P4/mmm, No. 123
**N(E_F)**: 31.27 states/eV/cell

Lattice parameters (Å, degrees): 5.131 5.131 25.499 90.00 90.00 90.00
Positions (direct):
Ac (0.000, 0.000, 0.000)
Pr (0.000, 0.000, 0.202)
Pr (0.000, 0.000, 0.401)
Pr (0.000, 0.000, 0.599)
Pr (0.000, 0.000, 0.798)
Y (0.500, 0.500, 0.000)
Y (0.500, 0.500, 0.203)
Y (0.500, 0.500, 0.401)
Y (0.500, 0.500, 0.599)
Y (0.500, 0.500, 0.797)
Y (0.500, 0.000, 0.104)
Y (0.500, 0.000, 0.302)
Y (0.500, 0.000, 0.500)
Y (0.500, 0.000, 0.698)
Y (0.500, 0.000, 0.896)
Y (0.000, 0.500, 0.104)
Y (0.000, 0.500, 0.302)
Y (0.000, 0.500, 0.500)
Y (0.000, 0.500, 0.698)
Y (0.000, 0.500, 0.896)

No. 6
Below is an optimized crystal structure of Ac3Pr5Y3, with properties calculated at the PBE-GGA level.

Summary:
**Total magnetic moment**: 0.001 μB per formula unit
**Space-group type**: P-62m, No. 189
**N(E_F)**: 21.81 states/eV/cell

Lattice parameters (Å, degrees): 6.126 9.781 9.781 120.00 90.00 90.00
Positions (direct):
Ac (0.000, 0.579, 0.000)
Ac (0.000, 0.000, 0.579)
Ac (0.000, 0.421, 0.421)
Pr (0.500, 0.667, 0.333)
Pr (0.500, 0.333, 0.667)
Pr (0.500, 0.380, 0.000)
Pr (0.500, 0.620, 0.620)
Pr (0.500, 0.000, 0.380)
Y (0.500, 0.751, 0.000)
Y (0.500, 0.249, 0.249)
Y (0.500, 0.000, 0.751)

No. 7
Below is an optimized crystal structure of Ac2Pr2Y, with properties calculated at the PBE-GGA level.

Summary:
**Polymorph energy (0 for the lowest one)**: 0.049 eV per atom
**Total magnetic moment**: 0.000 μB per formula unit
**Space-group type**: Imma, No. 74
**N(E_F)**: 17.98 states/eV/cell

Lattice parameters (Å, degrees): 6.108 3.816 17.487 96.26 100.06 90.00
Positions (direct):
Ac (0.546, 0.296, 0.091)
Ac (0.931, 0.181, 0.861)
Ac (0.454, 0.704, 0.909)
Ac (0.069, 0.819, 0.139)
Pr (0.731, 0.981, 0.461)
Pr (0.269, 0.019, 0.539)
Pr (0.363, 0.113, 0.727)
Pr (0.637, 0.887, 0.273)
Y (0.824, 0.574, 0.647)
Y (0.176, 0.426, 0.353)

No. 8
Below is an optimized crystal structure of AcPr3Y4, with properties calculated at the PBE-GGA level.

Summary:
**Polymorph energy (0 for the lowest one)**: 0.000 eV per atom
**Total magnetic moment**: 0.000 μB per formula unit
**Space-group type**: Pmn2_1, No. 31
**N(E_F)**: 30.16 states/eV/cell

Lattice parameters (Å, degrees): 6.431 7.453 11.838 90.00 90.00 90.00
Positions (direct):
Ac (0.986, 0.128, 0.000)
Ac (0.486, 0.872, 0.500)
Pr (0.481, 0.869, 0.000)
Pr (0.146, 0.871, 0.251)
Pr (0.646, 0.129, 0.249)
Pr (0.981, 0.131, 0.500)
Pr (0.646, 0.129, 0.751)
Pr (0.146, 0.871, 0.749)
Y (0.980, 0.622, 0.000)
Y (0.481, 0.382, 0.000)
Y (0.148, 0.381, 0.252)
Y (0.648, 0.619, 0.248)
Y (0.981, 0.618, 0.500)
Y (0.480, 0.378, 0.500)
Y (0.648, 0.619, 0.752)
Y (0.148, 0.381, 0.748)

No. 9
Below is an optimized crystal structure of Ac3PrY3, with properties calculated at the PBE-GGA level.

Summary:
**Total magnetic moment**: 0.000 μB per formula unit
**Space-group type**: R-3, No. 148
**N(E_F)**: 23.57 states/eV/cell

Lattice parameters (Å, degrees): 9.980 9.980 8.447 53.79 53.79 60.00
Positions (direct):
Ac (0.324, 0.886, 0.748)
Ac (0.886, 0.042, 0.748)
Ac (0.042, 0.324, 0.748)
Ac (0.958, 0.676, 0.252)
Ac (0.114, 0.958, 0.252)
Ac (0.676, 0.114, 0.252)
Pr (0.744, 0.744, 0.767)
Pr (0.256, 0.256, 0.233)
Y (0.400, 0.533, 0.252)
Y (0.815, 0.400, 0.252)
Y (0.533, 0.815, 0.252)
Y (0.467, 0.185, 0.748)
Y (0.185, 0.600, 0.748)
Y (0.600, 0.467, 0.748)

No. 10
Below is an optimized crystal structure of Ac12Pr3Y, with properties calculated at the PBE-GGA level.

Summary:
**Total magnetic moment**: 0.000 μB per formula unit
**Space-group type**: P4/mmm, No. 123
**N(E_F)**: 27.25 states/eV/cell

Lattice parameters (Å, degrees): 5.542 5.542 22.111 90.00 90.00 90.00
Positions (direct):
Ac (0.500, 0.500, 0.000)
Ac (0.500, 0.500, 0.249)
Ac (0.500, 0.500, 0.500)
Ac (0.500, 0.500, 0.751)
Ac (0.500, 0.000, 0.124)
Ac (0.500, 0.000, 0.374)
Ac (0.500, 0.000, 0.626)
Ac (0.500, 0.000, 0.876)
Ac (0.000, 0.500, 0.124)
Ac (0.000, 0.500, 0.374)
Ac (0.000, 0.500, 0.626)
Ac (0.000, 0.500, 0.876)
Pr (0.000, 0.000, 0.249)
Pr (0.000, 0.000, 0.500)
Pr (0.000, 0.000, 0.751)
Y (0.000, 0.000, 0.000)

No. 11
Below is an optimized crystal structure of AcPr4Y4, with properties calculated at the PBE-GGA level.

Summary:
**Total magnetic moment**: 0.000 μB per formula unit
**Space-group type**: P-1, No. 2
**N(E_F)**: 27.82 states/eV/cell

Lattice parameters (Å, degrees): 11.045 9.749 11.054 104.54 86.94 144.98
Positions (direct):
Ac (0.447, 0.364, 0.697)
Ac (0.553, 0.636, 0.303)
Pr (0.223, 0.804, 0.471)
Pr (0.333, 0.078, 0.081)
Pr (0.890, 0.977, 0.642)
Pr (0.997, 0.251, 0.248)
Pr (0.003, 0.749, 0.752)
Pr (0.110, 0.023, 0.358)
Pr (0.667, 0.922, 0.919)
Pr (0.777, 0.196, 0.529)
Y (0.113, 0.530, 0.863)
Y (0.441, 0.862, 0.192)
Y (0.328, 0.584, 0.586)
Y (0.217, 0.302, 0.972)
Y (0.672, 0.416, 0.414)
Y (0.783, 0.698, 0.028)
Y (0.887, 0.470, 0.137)
Y (0.559, 0.138, 0.808)

No. 12
Below is an optimized crystal structure of Ac4PrY5, with properties calculated at the PBE-GGA level.

Summary:
**Total magnetic moment**: 0.000 μB per formula unit
**Space-group type**: P4/mmm, No. 123
**N(E_F)**: 15.52 states/eV/cell

Lattice parameters (Å, degrees): 3.845 3.845 25.238 90.00 90.00 90.00
Positions (direct):
Ac (0.000, 0.000, 0.197)
Ac (0.000, 0.000, 0.399)
Ac (0.000, 0.000, 0.601)
Ac (0.000, 0.000, 0.803)
Pr (0.000, 0.000, 0.000)
Y (0.500, 0.500, 0.094)
Y (0.500, 0.500, 0.298)
Y (0.500, 0.500, 0.500)
Y (0.500, 0.500, 0.702)
Y (0.500, 0.500, 0.906)

| no. | energy relative to the elements (eV/atom) |
| --- | --- |
| 1 | 0.1999 |
| 2 | 0.0915 |
| 3 | 0.2151 |
| 4 | 0.0296 |
| 5 | 0.0275 |
| 6 | 0.6833 |
| 7 | 0.1765 |
| 8 | 0.0349 |
| 9 | 0.0489 |
| 10 | 0.0213 |
| 11 | 0.0253 |
| 12 | 0.0425 |